Here is a geometry-optimized KMg2Pb structure from the Alexandria database. Energies are from PBE.

```
data_KMg2Pb
_cell_length_a 6.993
_cell_length_b 10.570
_cell_length_c 3.373
_cell_angle_alpha 90.00
_cell_angle_beta 90.00
_cell_angle_gamma 90.00
_space_group_name_H-M_alt 'C m m m'
_space_group_IT_number 65
_space_group_name_Hall '-C 2 2'
loop_
_atom_site_label
_atom_site_type_symbol
_atom_site_fract_x
_atom_site_fract_y
_atom_site_fract_z
K1 K 0.000 0.000 0.000
Mg1 Mg 0.250 0.250 0.500
Pb1 Pb 0.000 0.500 0.000
```

Its total DFT energy (no corrections) is -14.67 eV per cell. Its formation enthalpy at 0 K is 165 meV per atom. The density of states at the Fermi level is 0.406 states/eV per atom. Its magnetization is 0.0 μB per formula unit.